*one*
The following is a DFT calculation (PBE-GGA) of crystalline TaTc2Os at its relaxed geometry.

volume: 15.5 A^3/atom
total magnetization: 0.000 μB per formula unit
crystal system: monoclinic

Geometry as POSCAR:
```
TaTc2Os
1.0
4.672 -1.412 0.000
4.672 1.412 0.000
-0.818 0.000 4.697
Ta Tc Os
1 2 1
direct
0.000 0.000 0.000
0.237 0.237 0.735
0.763 0.763 0.265
0.500 0.500 0.500
```

***

*two*
The following is a DFT calculation (PBE-GGA) of crystalline TaTc2Os at its relaxed geometry.

volume: 15.4 A^3/atom
total magnetization: 0.000 μB per formula unit
crystal system: monoclinic

Geometry as POSCAR:
```
TaTc2Os
1.0
4.763 0.000 0.000
0.000 2.845 0.000
-1.478 0.000 4.551
Ta Tc Os
1 2 1
direct
0.000 0.000 0.000
0.000 0.500 0.500
0.500 0.000 0.500
0.500 0.500 0.000
```

***

Relative energies in meV/atom: *one* 0; *two* 24

***

*one*
The following is a DFT calculation (PBE-GGA) of crystalline AlC2 at its relaxed geometry.

volume: 9.2 A^3/atom
total magnetization: 0.000 μB per formula unit
crystal system: hexagonal

Geometry as POSCAR:
```
AlC2
1.0
6.159 0.000 0.000
-3.079 5.333 0.000
0.000 0.000 2.527
Al C
3 6
direct
0.000 0.000 0.000
0.333 0.667 0.500
0.667 0.333 0.500
0.000 0.284 0.500
0.000 0.412 0.000
0.284 0.000 0.500
0.412 0.000 0.000
0.588 0.588 0.000
0.716 0.716 0.500
```

***

*two*
The following is a DFT calculation (PBE-GGA) of crystalline AlC2 at its relaxed geometry.

volume: 10.5 A^3/atom
total magnetization: 0.000 μB per formula unit
crystal system: hexagonal

Geometry as POSCAR:
```
AlC2
1.0
3.024 0.000 0.000
-1.512 2.619 0.000
0.000 0.000 3.986
Al C
1 2
direct
0.000 0.000 0.000
0.667 0.333 0.339
0.667 0.333 0.661
```

***

Relative energies in meV/atom: *one* 54; *two* 0

***

*one*
The following is a DFT calculation (PBE-GGA) of crystalline KInCl at its relaxed geometry.

volume: 40.0 A^3/atom
total magnetization: 0.010 μB per formula unit
crystal system: cubic

Geometry as POSCAR:
```
KInCl
1.0
0.000 3.914 3.914
3.914 0.000 3.914
3.914 3.914 0.000
K In Cl
1 1 1
direct
0.000 0.000 0.000
0.750 0.750 0.750
0.250 0.250 0.250
```

***

*two*
The following is a DFT calculation (PBE-GGA) of crystalline KInCl at its relaxed geometry.

volume: 37.5 A^3/atom
total magnetization: 0.783 μB per formula unit
crystal system: cubic

Geometry as POSCAR:
```
KInCl
1.0
0.000 3.833 3.833
3.833 0.000 3.833
3.833 3.833 0.000
K In Cl
1 1 1
direct
0.000 0.000 0.000
0.500 0.500 0.500
0.250 0.250 0.250
```

***

Relative energies in meV/atom: *one* 190; *two* 0

***

*one*
The following is a DFT calculation (PBE-GGA) of crystalline B2C at its relaxed geometry.

volume: 7.2 A^3/atom
total magnetization: 0.000 μB per formula unit
crystal system: triclinic

Geometry as POSCAR:
```
B2C
1.0
4.078 0.000 0.000
-0.761 4.868 0.000
-0.910 -2.565 4.347
B C
8 4
direct
0.000 0.000 0.000
0.000 0.305 0.927
0.004 0.935 0.583
0.205 0.385 0.301
0.401 0.582 0.092
0.417 0.067 0.230
0.750 0.271 0.175
0.964 0.606 0.836
0.400 0.085 0.583
0.596 0.893 0.408
0.622 0.379 0.886
0.999 0.567 0.518
```

***

*two*
The following is a DFT calculation (PBE-GGA) of crystalline B2C at its relaxed geometry.

volume: 7.6 A^3/atom
total magnetization: 0.000 μB per formula unit
crystal system: monoclinic

Geometry as POSCAR:
```
B2C
1.0
4.916 -1.335 0.000
4.916 1.335 0.000
-1.293 0.000 3.457
B C
4 2
direct
0.126 0.126 0.392
0.268 0.268 0.839
0.732 0.732 0.161
0.874 0.874 0.608
0.434 0.434 0.826
0.566 0.566 0.174
```

***

Relative energies in meV/atom: *one* 0; *two* 50

***

*one*
The following is a DFT calculation (PBE-GGA) of crystalline NiIrRu2 at its relaxed geometry.

volume: 13.6 A^3/atom
total magnetization: 0.610 μB per formula unit
crystal system: trigonal

Geometry as POSCAR:
```
NiIrRu2
1.0
1.346 0.777 8.649
-1.346 0.777 8.649
0.000 -1.554 8.649
Ni Ir Ru
1 1 2
direct
0.000 0.000 0.000
0.500 0.500 0.500
0.252 0.252 0.252
0.748 0.748 0.748
```

***

*two*
The following is a DFT calculation (PBE-GGA) of crystalline NiIrRu2 at its relaxed geometry.

volume: 13.9 A^3/atom
total magnetization: 1.821 μB per formula unit
crystal system: orthorhombic

Geometry as POSCAR:
```
NiIrRu2
1.0
1.359 -2.286 0.000
1.359 2.286 0.000
0.000 0.000 8.968
Ni Ir Ru
1 1 2
direct
0.000 0.000 0.000
0.500 0.500 0.244
0.000 0.000 0.505
0.500 0.500 0.759
```

***

Relative energies in meV/atom: *one* 0; *two* 247

***

*one*
The following is a DFT calculation (PBE-GGA) of crystalline Mn2NiPd8 at its relaxed geometry.

volume: 15.0 A^3/atom
total magnetization: 10.942 μB per formula unit
crystal system: monoclinic

Geometry as POSCAR:
```
Mn2NiPd8
1.0
6.969 -1.987 0.000
6.969 1.987 0.000
-1.745 0.000 5.945
Mn Ni Pd
2 1 8
direct
0.223 0.223 0.149
0.777 0.777 0.851
0.500 0.500 0.500
0.043 0.043 0.233
0.142 0.142 0.692
0.322 0.322 0.587
0.405 0.405 0.048
0.595 0.595 0.952
0.678 0.678 0.413
0.858 0.858 0.308
0.957 0.957 0.767
```

***

*two*
The following is a DFT calculation (PBE-GGA) of crystalline Mn2NiPd8 at its relaxed geometry.

volume: 15.6 A^3/atom
total magnetization: 9.620 μB per formula unit
crystal system: monoclinic

Geometry as POSCAR:
```
Mn2NiPd8
1.0
3.953 -5.209 0.000
3.953 5.209 0.000
-0.012 0.000 4.165
Mn Ni Pd
2 1 8
direct
0.126 0.874 0.000
0.874 0.126 0.000
0.500 0.500 0.500
0.171 0.171 0.499
0.194 0.458 0.999
0.255 0.745 0.500
0.458 0.194 0.999
0.542 0.806 0.001
0.745 0.255 0.500
0.806 0.542 0.001
0.829 0.829 0.501
```

***

Relative energies in meV/atom: *one* 0; *two* 169